Entry i
The following is a PBE calculation of a relaxed TlIrRu2 crystal, from the Alexandria database.

abc: 2.840 3.791 6.034
angles: 90.00 90.00 90.00
Positions (direct):
Tl1 0.000 0.000 0.000
Ir1 0.500 0.500 0.282
Ru1 0.000 0.000 0.508
Ru2 0.500 0.500 0.717

Computed properties:
M_tot, μB per atom: 0.0000
Crystal system: orthorhombic
Fermi-level density of states, states/eV per cell: 4.229

---

Entry ii
The following is a PBE calculation of a relaxed TlIrRu2 crystal, from the Alexandria database.

abc: 5.849 5.849 5.849
angles: 102.37 102.37 124.86
Positions (direct):
Tl1 0.000 0.000 0.000
Tl2 0.750 0.250 0.500
Ir1 0.250 0.750 0.500
Ir2 0.500 0.500 0.000
Ru1 0.167 0.625 0.042
Ru2 0.375 0.417 0.542
Ru3 0.583 0.125 0.958
Ru4 0.875 0.833 0.458

Computed properties:
M_tot, μB per atom: 0.0000
Crystal system: tetragonal
Fermi-level density of states, states/eV per cell: 5.309

---

Entry iii
The following is a PBE calculation of a relaxed TlIrRu2 crystal, from the Alexandria database.

abc: 5.645 5.645 5.645
angles: 150.86 130.40 58.57
Positions (direct):
Tl1 0.000 0.000 0.000
Ir1 0.500 0.500 0.000
Ru1 0.272 0.772 0.500
Ru2 0.728 0.228 0.500

Computed properties:
M_tot, μB per atom: 0.0000
Crystal system: orthorhombic
Fermi-level density of states, states/eV per cell: 5.518

---

Entry iv
The following is a PBE calculation of a relaxed TlIrRu2 crystal, from the Alexandria database.

abc: 9.229 9.229 9.229
angles: 17.86 17.86 17.86
Positions (direct):
Tl1 0.000 0.000 0.000
Ir1 0.500 0.500 0.500
Ru1 0.245 0.245 0.245
Ru2 0.755 0.755 0.755

Computed properties:
M_tot, μB per atom: 0.0000
Crystal system: trigonal
Fermi-level density of states, states/eV per cell: 4.927

---

Stability, lowest: entry ii